{
  "formula": "Sr3CdRh",
  "functional": "GGA-PBE",
  "state": "relaxed",
  "e_above_lowest_polymorph_mev_per_atom": 53,
  "spacegroup": "Pm (6)",
  "n_ef_per_ev_atom": 0.7022,
  "magmom_total_mub_per_atom": 0.000,
  "volume_a3_per_atom": 35.825,
  "dft_energy_ev_per_fu": -14.3,
  "lattice_angstrom": [[7.668, 0.000, 0.000], [0.000, 5.600, 0.000], [-1.304, 0.000, 8.343]],
  "species": ["Sr", "Sr", "Sr", "Sr", "Sr", "Sr", "Cd", "Cd", "Rh", "Rh"],
  "fractional_positions": [[0.000, 0.000, 0.000], [0.008, 0.500, 0.317], [0.298, 0.000, 0.614], [0.462, 0.000, 0.137], [0.572, 0.500, 0.865], [0.778, 0.000, 0.558], [0.077, 0.500, 0.765], [0.475, 0.500, 0.374], [0.247, 0.500, 0.079], [0.633, 0.000, 0.843]]
}